# 1
Entry from Alexandria via LeMat-Bulk: TcSn6Rh after structural relaxation (PBE).

Output
DFT formation energy   120 meV/atom
Calculated total energy   -5.10 eV per atom
Symmetry   No. 12
Density of states at the Fermi level   4.70 states/eV/cell

abc: 6.6578 6.7440 5.8607
angles: 54.88 82.78 77.38
Last column: nearest neighbours and their distance in Å.
Fractional coordinates of all 8 atoms:
1 Tc 0.5000 0.5000 0.0000  6 Sn 2.62-2.70
2 Sn 0.7555 0.0768 0.3540  1 Rh 2.69, 1 Tc 2.70
3 Sn 0.2445 0.9232 0.6460  1 Rh 2.69, 1 Tc 2.70
4 Sn 0.2445 0.5692 0.3540  1 Rh 2.69, 1 Tc 2.70
5 Sn 0.7591 0.7421 0.0000  1 Rh 2.61, 1 Tc 2.62
6 Sn 0.7555 0.4308 0.6460  1 Rh 2.69, 1 Tc 2.70
7 Sn 0.2409 0.2579 0.0000  1 Rh 2.61, 1 Tc 2.62
8 Rh 0.0000 0.0000 0.0000  6 Sn 2.61-2.69

# 2
Entry from Alexandria via LeMat-Bulk: TcSn2Rh after structural relaxation (PBE).

Output
DFT formation energy   378 meV/atom
Calculated total energy   -6.05 eV per atom
Symmetry   No. 166
Density of states at the Fermi level   3.95 states/eV/cell

abc: 3.1012 3.1012 9.6709
angles: 80.77 80.77 60.00
Last column: nearest neighbours and their distance in Å.
Fractional coordinates of all 4 atoms:
1 Sn 0.0940 0.0940 0.7179  1 Tc 2.68, 3 Rh 2.74
2 Sn 0.9060 0.9060 0.2821  1 Tc 2.68, 3 Rh 2.74
3 Rh 0.5000 0.5000 0.5000  6 Sn 2.74
4 Tc 0.0000 0.0000 0.0000  2 Sn 2.68

# 3
Entry from Alexandria via LeMat-Bulk: TcSn2Rh after structural relaxation (PBE).

Output
DFT formation energy   -116 meV/atom
Calculated total energy   -6.55 eV per atom
Symmetry   No. 225
Density of states at the Fermi level   0.44 states/eV/cell

abc: 4.6093 4.6093 4.6093
angles: 60.00 60.00 60.00
Last column: nearest neighbours and their distance in Å.
Fractional coordinates of all 4 atoms:
1 Rh 0.5000 0.5000 0.5000  8 Sn 2.82
2 Sn 0.7500 0.7500 0.7500  4 Tc 2.82, 4 Rh 2.82
3 Sn 0.2500 0.2500 0.2500  4 Tc 2.82, 4 Rh 2.82
4 Tc 0.0000 0.0000 0.0000  8 Sn 2.82

# 4
Entry from Alexandria via LeMat-Bulk: TcSn2Rh after structural relaxation (PBE).

Output
DFT formation energy   -156 meV/atom
Calculated total energy   -6.59 eV per atom
Symmetry   No. 123
Density of states at the Fermi level   0.78 states/eV/cell

abc: 3.3080 4.5680 4.5680
angles: 90.00 90.00 90.00
Last column: nearest neighbours and their distance in Å.
Fractional coordinates of all 4 atoms:
1 Tc 0.5000 0.5000 0.5000  8 Sn 2.82
2 Rh 0.5000 0.0000 0.0000  8 Sn 2.82
3 Sn 0.0000 0.0000 0.5000  4 Tc 2.82, 4 Rh 2.82
4 Sn 0.0000 0.5000 0.0000  4 Tc 2.82, 4 Rh 2.82

# 5
Entry from Alexandria via LeMat-Bulk: TcSn3Rh after structural relaxation (PBE).

Output
DFT formation energy   770 meV/atom
Calculated total energy   -5.18 eV per atom
Symmetry   No. 221
Density of states at the Fermi level   8.00 states/eV/cell

abc: 5.0678 5.0678 5.0678
angles: 90.00 90.00 90.00
Last column: nearest neighbours and their distance in Å.
Fractional coordinates of all 5 atoms:
1 Sn 0.0000 0.0000 0.5000  2 Rh 2.53
2 Sn 0.5000 0.0000 0.0000  2 Rh 2.53
3 Sn 0.0000 0.5000 0.0000  2 Rh 2.53
4 Tc 0.5000 0.5000 0.5000  12 Sn 3.58
5 Rh 0.0000 0.0000 0.0000  6 Sn 2.53

# 6
Entry from Alexandria via LeMat-Bulk: TiTcSnRh after structural relaxation (PBE).

Output
DFT formation energy   -561 meV/atom
Calculated total energy   -7.97 eV per atom
Symmetry   No. 216
Density of states at the Fermi level   0.34 states/eV/cell

abc: 4.4788 4.4788 4.4788
angles: 60.00 60.00 60.00
Last column: nearest neighbours and their distance in Å.
Fractional coordinates of all 4 atoms:
1 Tc 0.0000 0.0000 0.0000  4 Ti 2.74, 4 Sn 2.74
2 Sn 0.7500 0.7500 0.7500  4 Tc 2.74, 4 Rh 2.74
3 Ti 0.2500 0.2500 0.2500  4 Tc 2.74, 4 Rh 2.74
4 Rh 0.5000 0.5000 0.5000  4 Sn 2.74, 4 Ti 2.74

# 7
Entry from Alexandria via LeMat-Bulk: UTcSnRh after structural relaxation (PBE).

Output
DFT formation energy   -255 meV/atom
Calculated total energy   -8.51 eV per atom
Symmetry   No. 216
Density of states at the Fermi level   5.22 states/eV/cell

abc: 4.7233 4.7233 4.7233
angles: 60.00 60.00 60.00
Last column: nearest neighbours and their distance in Å.
Fractional coordinates of all 4 atoms:
1 U 0.0000 0.0000 0.0000  4 Tc 2.89, 4 Rh 2.89
2 Rh 0.2500 0.2500 0.2500  4 Sn 2.89, 4 U 2.89
3 Sn 0.5000 0.5000 0.5000  4 Tc 2.89, 4 Rh 2.89
4 Tc 0.7500 0.7500 0.7500  4 U 2.89, 4 Sn 2.89

# 8
Entry from Alexandria via LeMat-Bulk: SnTe2Rh after structural relaxation (PBE).

Output
Calculated total energy   -4.47 eV per atom
Symmetry   No. 122
Density of states at the Fermi level   5.99 states/eV/cell

abc: 6.4538 6.4538 7.7235
angles: 65.30 65.30 90.00
Last column: nearest neighbours and their distance in Å.
Fractional coordinates of all 8 atoms:
1 Rh 0.5000 0.5000 0.0000  4 Te 2.57
2 Rh 0.2500 0.7500 0.5000  4 Te 2.57
3 Te 0.5689 0.1250 0.2500  2 Rh 2.57
4 Te 0.8750 0.8189 0.7500  2 Rh 2.57
5 Te 0.3750 0.4311 0.7500  2 Rh 2.57
6 Te 0.1811 0.6250 0.2500  2 Rh 2.57
7 Sn 0.0000 0.0000 0.0000  4 Te 2.99
8 Sn 0.7500 0.2500 0.5000  4 Te 2.99

# 9
Entry from Alexandria via LeMat-Bulk: SnTe3Rh2 after structural relaxation (PBE).

Output
Calculated total energy   -5.06 eV per atom
Symmetry   No. 164
Density of states at the Fermi level   7.71 states/eV/cell

abc: 5.4917 7.8276 7.8276
angles: 120.00 90.00 90.00
Last column: nearest neighbours and their distance in Å.
Fractional coordinates of all 12 atoms:
1 Te 0.2547 0.3395 0.1698  3 Rh 2.64-2.69
2 Te 0.2547 0.8302 0.6605  3 Rh 2.64-2.69
3 Te 0.7453 0.6605 0.8302  3 Rh 2.64-2.69
4 Te 0.2547 0.8302 0.1698  3 Rh 2.64-2.69
5 Te 0.7453 0.1698 0.8302  3 Rh 2.64-2.69
6 Te 0.7453 0.1698 0.3395  3 Rh 2.64-2.69
7 Rh 0.0000 0.0000 0.5000  4 Te 2.64, 2 Sn 2.73
8 Rh 0.0000 0.5000 0.5000  4 Te 2.64, 2 Sn 2.73
9 Rh 0.0000 0.5000 0.0000  4 Te 2.64, 2 Sn 2.73
10 Rh 0.0000 0.0000 0.0000  6 Te 2.69
11 Sn 0.7223 0.6667 0.3333  3 Rh 2.73
12 Sn 0.2777 0.3333 0.6667  3 Rh 2.73

# 10
Entry from Alexandria via LeMat-Bulk: SnTeRh2 after structural relaxation (PBE).

Output
Calculated total energy   -5.57 eV per atom
Symmetry   No. 225
Density of states at the Fermi level   3.09 states/eV/cell

abc: 4.6873 4.6873 4.6873
angles: 60.00 60.00 60.00
Last column: nearest neighbours and their distance in Å.
Fractional coordinates of all 4 atoms:
1 Sn 0.0000 0.0000 0.0000  8 Rh 2.87
2 Rh 0.7500 0.7500 0.7500  4 Te 2.87, 4 Sn 2.87
3 Rh 0.2500 0.2500 0.2500  4 Sn 2.87, 4 Te 2.87
4 Te 0.5000 0.5000 0.5000  8 Rh 2.87

# 11
Entry from Alexandria via LeMat-Bulk: SnTe3Rh after structural relaxation (PBE).

Output
Calculated total energy   -3.97 eV per atom
Symmetry   No. 221
Density of states at the Fermi level   5.73 states/eV/cell

abc: 5.2610 5.2610 5.2610
angles: 90.00 90.00 90.00
Last column: nearest neighbours and their distance in Å.
Fractional coordinates of all 5 atoms:
1 Te 0.0000 0.0000 0.5000  2 Rh 2.63
2 Te 0.0000 0.5000 0.0000  2 Rh 2.63
3 Te 0.5000 0.0000 0.0000  2 Rh 2.63
4 Sn 0.5000 0.5000 0.5000  12 Te 3.72
5 Rh 0.0000 0.0000 0.0000  6 Te 2.63

# 12
Entry from Alexandria via LeMat-Bulk: SnTeRh after structural relaxation (PBE).

Output
Calculated total energy   -5.33 eV per atom
Symmetry   No. 14
Density of states at the Fermi level   0.35 states/eV/cell

abc: 6.6800 6.8605 6.7564
angles: 117.04 90.00 90.00
Last column: nearest neighbours and their distance in Å.
Fractional coordinates of all 12 atoms:
1 Sn 0.6524 0.3328 0.1513  3 Rh 2.63-2.67
2 Sn 0.3476 0.6672 0.8487  3 Rh 2.63-2.67
3 Sn 0.1524 0.1672 0.8487  3 Rh 2.63-2.67
4 Sn 0.8476 0.8328 0.1513  3 Rh 2.63-2.67
5 Rh 0.4960 0.7147 0.2347  3 Sn 2.63-2.67, 3 Te 2.70-2.73
6 Rh 0.0040 0.2147 0.2347  3 Sn 2.63-2.67, 3 Te 2.70-2.73
7 Rh 0.5040 0.2853 0.7653  3 Sn 2.63-2.67, 3 Te 2.70-2.73
8 Rh 0.9960 0.7853 0.7653  3 Sn 2.63-2.67, 3 Te 2.70-2.73
9 Te 0.8711 0.3705 0.6562  3 Rh 2.70-2.73, 1 Sn 2.97
10 Te 0.3711 0.1295 0.3438  3 Rh 2.70-2.73, 1 Sn 2.97
11 Te 0.6289 0.8705 0.6562  3 Rh 2.70-2.73, 1 Sn 2.97
12 Te 0.1289 0.6295 0.3438  3 Rh 2.70-2.73, 1 Sn 2.97

Number 1: density 7220 kg/m³. Number 2: density 9195 kg/m³. Number 3: density 10511 kg/m³. Number 4: density 10544 kg/m³. Number 5: density 7107 kg/m³. Number 6: density 9605 kg/m³. Number 7: density 12428 kg/m³. Number 8: density 6101 kg/m³. Number 9: density 8061 kg/m³. Number 10: density 10310 kg/m³. Number 11: density 6893 kg/m³. Number 12: density 8411 kg/m³.